The following is a DFT calculation (PBE) of crystalline CaZnIn4 at its relaxed geometry.

Lattice parameters (Å, degrees): 6.1427 6.1427 6.1427 60.00 60.00 60.00
Sites, in units of the cell vectors:
1 Zn 0.7500 0.7500 0.7500
2 In 0.3753 0.3753 0.3753
3 In 0.8742 0.3753 0.3753
4 In 0.3753 0.3753 0.8742
5 In 0.3753 0.8742 0.3753
6 Ca 0.0000 0.0000 0.0000

Computed properties:
The crystal system is cubic. As for the formation energy from the elements: -0.018 eV per atom. Its space-group type is F-43m, No. 216. The calculation puts the calculated total energy at -0.0878 hartree per atom.



The following is a DFT calculation (PBE) of crystalline Ca4ZnIn2 at its relaxed geometry.

Lattice parameters (Å, degrees): 5.3519 5.3519 9.3700 73.41 73.41 60.00
Sites, in units of the cell vectors:
1 In 0.2512 0.2512 0.2464
2 In 0.7488 0.7488 0.7536
3 Ca 0.3740 0.3740 0.8780
4 Ca 0.1245 0.1245 0.6266
5 Ca 0.6260 0.6260 0.1220
6 Ca 0.8755 0.8755 0.3734
7 Zn 0.0000 0.0000 0.0000

Computed properties:
The crystal system is trigonal. As for the formation energy from the elements: -0.300 eV per atom. Its space-group type is R-3m, No. 166. The calculation puts the calculated total energy at -0.0885 hartree per atom.



The following is a DFT calculation (PBE) of crystalline Ca2Zn15In2 at its relaxed geometry.

Lattice parameters (Å, degrees): 6.9810 6.9810 6.9810 83.33 83.33 83.33
Sites, in units of the cell vectors:
1 Ca 0.6571 0.6571 0.6571
2 Ca 0.3429 0.3429 0.3429
3 Zn 0.3098 0.6902 0.0000
4 Zn 0.6468 0.6468 0.1725
5 Zn 0.6902 0.3098 0.0000
6 Zn 0.0000 0.5000 0.0000
7 Zn 0.3098 0.0000 0.6902
8 Zn 0.3532 0.3532 0.8275
9 Zn 0.0000 0.0000 0.5000
10 Zn 0.1725 0.6468 0.6468
11 Zn 0.3532 0.8275 0.3532
12 Zn 0.8275 0.3532 0.3532
13 Zn 0.0000 0.6902 0.3098
14 Zn 0.0000 0.3098 0.6902
15 Zn 0.5000 0.0000 0.0000
16 Zn 0.6468 0.1725 0.6468
17 Zn 0.6902 0.0000 0.3098
18 In 0.8946 0.8946 0.8946
19 In 0.1054 0.1054 0.1054

Computed properties:
The crystal system is trigonal. As for the formation energy from the elements: -0.152 eV per atom. Its space-group type is R-3m, No. 166. The calculation puts the calculated total energy at -0.0609 hartree per atom.